Record 1
This record from the Alexandria database describes a geometry-optimized Cd2InS4 structure. The functional is GGA-PBE.

Results
Magnetic moment (μB per cell): 2.7
V (Å³ per cell): 342
Formation energy from raw total energies (eV/f.u.): 0.1
Crystal system: tetragonal
Total DFT energy (no corrections) (eV per atom): -3.001

Cell lengths 5.0963, 5.0963, 13.1718 Å; angles 90.00, 90.00, 90.00 degrees
Space group I4/mmm (No. 139)
Symmetry-distinct sites (fractional):
Cd  0.0000  0.0000  0.1134 [4 per cell]
In  0.0000  0.0000  0.5000 [2 per cell]
S  0.0000  0.0000  0.2969 [4 per cell]
S  0.0000  0.5000  0.0000 [4 per cell]

***

Record 2
This record from the Alexandria database describes a geometry-optimized Cd2InS3 structure. The functional is GGA-PBE.

Results
Magnetic moment (μB per cell): 0.0
V (Å³ per cell): 330
Formation energy from raw total energies (eV/f.u.): -3.0
Crystal system: orthorhombic
Total DFT energy (no corrections) (eV per atom): -3.321

Cell lengths 4.4390, 12.6292, 5.8910 Å; angles 90.00, 90.00, 90.00 degrees
Space group Imm2 (No. 44)
Symmetry-distinct sites (fractional):
Cd  0.0000  0.1681  0.0000 [4 per cell]
In  0.0000  0.5000  0.0066 [2 per cell]
S  0.0000  0.0000  0.7461 [2 per cell]
S  0.0000  0.3321  0.7353 [4 per cell]

***

Record 3
This record from the Alexandria database describes a geometry-optimized Cd3In3S8 structure. The functional is GGA-PBE.

Results
Magnetic moment (μB per cell): 0.0
V (Å³ per cell): 1002
Formation energy from raw total energies (eV/f.u.): -7.0
Crystal system: trigonal
Total DFT energy (no corrections) (eV per atom): -3.643

Cell lengths 7.8175, 7.8175, 18.9313 Å; angles 90.00, 90.00, 120.00 degrees
Space group R-3m (No. 166, hexagonal axes)
Symmetry-distinct sites (fractional):
Cd  0.0000  0.0000  0.0000 [3 per cell]
Cd  0.0000  0.0000  0.3770 [6 per cell]
In  0.0000  0.5000  0.5000 [9 per cell]
S  0.0000  0.0000  0.2413 [6 per cell]
S  0.0236  0.5118  0.7549 [18 per cell]